Entry from Alexandria: a relaxed structure of InPbF3 (PBE).

Cell and atoms, written as POSCAR:
```
InPbF3
1.0
1.9341 -7.5961 0.0000
1.9341 7.5961 0.0000
0.0000 0.0000 7.1814
In Pb F
2 2 6
direct
0.0730 0.9270 0.5000 In
0.9270 0.0730 0.0000 In
0.3256 0.6744 0.5371 Pb
0.6744 0.3256 0.0371 Pb
0.0794 0.9206 0.9455 F
0.2337 0.7663 0.2143 F
0.4301 0.5699 0.7802 F
0.5699 0.4301 0.2802 F
0.7663 0.2337 0.7143 F
0.9206 0.0794 0.4455 F
```

Summary:
The raw formation energy comes out at -991 kJ/mol of formula units. As for the total energy: -4.466 eV/atom. Its space-group type is Cmc2_1 (36).